! PBE-GGA CaGaPb2, optimized geometry; values from VASP
! SG: Fm-3m (225)
! Mass density: 7.7 g/cm3
! Energy above the most stable polymorph in this dataset: 0.126 eV per atom
! Electronic total energy: -3.26 eV/atom
! ΔH_f (0 K): -0.15 eV/atom
&SYSTEM
  ibrav = 0, nat = 4, ntyp = 3
/
ATOMIC_SPECIES
Pb 207.20 Pb.upf
Ca 40.08 Ca.upf
Ga 69.72 Ga.upf
ATOMIC_POSITIONS crystal
Pb 0.250 0.250 0.250
Pb 0.750 0.750 0.750
Ca 0.000 0.000 0.000
Ga 0.500 0.500 0.500
CELL_PARAMETERS angstrom
0.000 3.838 3.838
3.838 0.000 3.838
3.838 3.838 0.000